A | Below is crystalline HfVN2F at its relaxed geometry, with properties calculated at the GGA+U level.

Cell: 3.935 3.935 3.696 Å, 90.00 90.00 90.00°
Fractional positions:
Hf (0.000, 0.000, 0.000)
V (0.500, 0.500, 0.500)
N (0.000, 0.500, 0.500)
N (0.500, 0.000, 0.500)
F (0.500, 0.500, 0.000)

Computed properties:
Calculated density (g cm⁻³): 8.0
Spin magnetization (Bohr magnetons per cell): 1.8

---

B | Below is crystalline HfVN2F at its relaxed geometry, with properties calculated at the GGA+U level.

Cell: 4.189 4.189 4.015 Å, 90.00 90.00 90.00°
Fractional positions:
Hf (0.000, 0.000, 0.000)
V (0.500, 0.500, 0.500)
N (0.000, 0.500, 0.000)
N (0.500, 0.000, 0.000)
F (0.000, 0.000, 0.500)

Computed properties:
Calculated density (g cm⁻³): 6.5
Spin magnetization (Bohr magnetons per cell): 2.7

---

Preferred: B; penalty for the next structure: 68 meV/atom.

---

A | Below is crystalline HfWN2F at its relaxed geometry, with properties calculated at the GGA+U level.

Cell: 4.246 4.246 3.934 Å, 90.00 90.00 90.00°
Fractional positions:
Hf (0.000, 0.000, 0.000)
W (0.500, 0.500, 0.500)
N (0.000, 0.500, 0.000)
N (0.500, 0.000, 0.000)
F (0.000, 0.000, 0.500)

Computed properties:
Calculated density (g cm⁻³): 9.6
Spin magnetization (Bohr magnetons per cell): 3.0

---

B | Below is crystalline HfWN2F at its relaxed geometry, with properties calculated at the GGA+U level.

Cell: 3.997 3.997 6.243 Å, 90.00 90.00 90.00°
Fractional positions:
Hf (0.000, 0.000, 0.000)
W (0.000, 0.000, 0.500)
N (0.000, 0.500, 0.000)
N (0.500, 0.000, 0.000)
F (0.500, 0.500, 0.500)

Computed properties:
Calculated density (g cm⁻³): 6.8
Spin magnetization (Bohr magnetons per cell): 4.0

---

C | Below is crystalline HfWN2F at its relaxed geometry, with properties calculated at the GGA+U level.

Cell: 4.109 4.109 3.956 Å, 90.00 90.00 90.00°
Fractional positions:
Hf (0.000, 0.000, 0.000)
W (0.500, 0.500, 0.500)
N (0.000, 0.500, 0.500)
N (0.500, 0.000, 0.500)
F (0.500, 0.500, 0.000)

Computed properties:
Calculated density (g cm⁻³): 10.2
Spin magnetization (Bohr magnetons per cell): 2.4

---

Preferred: A; penalty for the next structure: 256 meV/atom.